Below is a relaxed ZrGaN2O crystal, with properties calculated at the PBE level.

abc: 4.399 4.399 4.130
angles: 90.00 90.00 90.00
Site moments in Bohr magnetons follow the coordinates.
Fractional coordinates of all 5 atoms:
O  0.000  0.000  0.500  0.27
N  0.500  0.000  0.000  0.90
N  0.000  0.500  0.000  0.90
Ga  0.500  0.500  0.500  0.09
Zr  0.000  0.000  0.000  -0.08

Values from the calculation:
uncorrected formation energy = -0.55 eV/f.u.